No. 1
Computed, not measured: Rb3Pr2UO6 after structural relaxation at the GGA-PBE level of DFT.

Summary:
density of states at the Fermi level = 5.47 states/eV/f.u.
energy relative to the elements, uncorrected = -2.415 eV/atom
electronic total energy = -6.8728 eV per atom

CIF file:
```
data_Rb3Pr2UO6
_space_group_name_H-M_alt 'C 1 2/m 1'
_space_group_IT_number 12
_space_group_name_Hall '-C 2y'
_cell_length_a 6.3849
_cell_length_b 11.0589
_cell_length_c 6.9763
_cell_angle_alpha 90.00
_cell_angle_beta 107.87
_cell_angle_gamma 90.00
loop_
_atom_site_label
_atom_site_fract_x
_atom_site_fract_y
_atom_site_fract_z
_atom_site_occupancy
Rb1 0.0000 0.0000 0.0000 1
Rb2 0.0000 0.3328 0.0000 1
Pr1 0.0000 0.1666 0.5000 1
U1 0.0000 0.5000 0.5000 1
O1 0.2111 0.3460 0.6704 1
O2 0.2492 0.0000 0.6712 1
```

No. 2
Computed, not measured: Tb2NdV after structural relaxation at the GGA-PBE level of DFT.

Summary:
density of states at the Fermi level = 4.58 states/eV/f.u.
ΔE_f = 0.35 eV/atom
electronic total energy = -5.4368 eV per atom

CIF file:
```
data_Tb2NdV
_space_group_name_H-M_alt 'R -3 m'
_space_group_IT_number 166
_space_group_name_Hall '-R 3 2"'
_cell_length_a 3.5005
_cell_length_b 3.5005
_cell_length_c 31.8998
_cell_angle_alpha 90.00
_cell_angle_beta 90.00
_cell_angle_gamma 120.00
loop_
_atom_site_label
_atom_site_fract_x
_atom_site_fract_y
_atom_site_fract_z
_atom_site_occupancy
Tb1 0.0000 0.0000 0.2365 1
Nd1 0.0000 0.0000 0.0000 1
V1 0.0000 0.0000 0.5000 1
```

No. 3
Computed, not measured: Tc2NiBr after structural relaxation at the GGA-PBE level of DFT.

Summary:
ΔE to the lowest computed polymorph = 238 meV/atom
density of states at the Fermi level = 4.07 states/eV/f.u.
energy relative to the elements, uncorrected = 0.621 eV/atom
electronic total energy = -6.4252 eV per atom

CIF file:
```
data_Tc2NiBr
_space_group_name_H-M_alt 'C 1 2/m 1'
_space_group_IT_number 12
_space_group_name_Hall '-C 2y'
_cell_length_a 8.1942
_cell_length_b 3.2397
_cell_length_c 7.3629
_cell_angle_alpha 90.00
_cell_angle_beta 123.67
_cell_angle_gamma 90.00
loop_
_atom_site_label
_atom_site_fract_x
_atom_site_fract_y
_atom_site_fract_z
_atom_site_occupancy
Tc1 0.2307 0.0000 0.3698 1
Ni1 0.0000 0.0000 0.5000 1
Br1 0.0000 0.5000 0.0000 1
```

No. 4
Computed, not measured: Cr4Ru after structural relaxation at the GGA-PBE level of DFT.

Summary:
ΔE to the lowest computed polymorph = 1478 meV/atom
density of states at the Fermi level = 4.43 states/eV/f.u.
ΔE_f = 1.53 eV/atom
electronic total energy = -8.0225 eV per atom

CIF file:
```
data_Cr4Ru
_space_group_name_H-M_alt 'P m -3 m'
_space_group_IT_number 221
_space_group_name_Hall '-P 4 2 3'
_cell_length_a 4.6487
_cell_length_b 4.6487
_cell_length_c 4.6487
_cell_angle_alpha 90.00
_cell_angle_beta 90.00
_cell_angle_gamma 90.00
loop_
_atom_site_label
_atom_site_fract_x
_atom_site_fract_y
_atom_site_fract_z
_atom_site_occupancy
Cr1 0.0000 0.0000 0.0000 1
Cr2 0.0000 0.5000 0.5000 1
Ru1 0.5000 0.5000 0.5000 1
```

No. 5
Computed, not measured: Nd5Te4As after structural relaxation at the GGA-PBE level of DFT.

Summary:
density of states at the Fermi level = 4.59 states/eV/f.u.
energy relative to the elements, uncorrected = -1.461 eV/atom
electronic total energy = -5.5666 eV per atom

CIF file:
```
data_Nd5Te4As
_space_group_name_H-M_alt 'I 4/m m m'
_space_group_IT_number 139
_space_group_name_Hall '-I 4 2'
_cell_length_a 4.4199
_cell_length_b 4.4199
_cell_length_c 32.1201
_cell_angle_alpha 90.00
_cell_angle_beta 90.00
_cell_angle_gamma 90.00
loop_
_atom_site_label
_atom_site_fract_x
_atom_site_fract_y
_atom_site_fract_z
_atom_site_occupancy
Nd1 0.0000 0.0000 0.0000 1
Nd2 0.0000 0.0000 0.2082 1
Nd3 0.0000 0.0000 0.4108 1
Te1 0.0000 0.0000 0.1024 1
Te2 0.0000 0.0000 0.3074 1
As1 0.0000 0.0000 0.5000 1
```

No. 6
Computed, not measured: NaBi2Au after structural relaxation at the GGA-PBE level of DFT.

Summary:
ΔE to the lowest computed polymorph = 60 meV/atom
density of states at the Fermi level = 1.11 states/eV/f.u.
ΔE_f = -0.11 eV/atom
electronic total energy = -3.2043 eV per atom

CIF file:
```
data_NaBi2Au
_space_group_name_H-M_alt 'R 3 m'
_space_group_IT_number 160
_space_group_name_Hall 'R 3 -2"'
_cell_length_a 4.8367
_cell_length_b 4.8367
_cell_length_c 17.1352
_cell_angle_alpha 90.00
_cell_angle_beta 90.00
_cell_angle_gamma 120.00
loop_
_atom_site_label
_atom_site_fract_x
_atom_site_fract_y
_atom_site_fract_z
_atom_site_occupancy
Na1 0.0000 0.0000 0.0000 1
Bi1 0.0000 0.0000 0.5768 1
Bi2 0.0000 0.0000 0.7737 1
Au1 0.0000 0.0000 0.1781 1
```

No. 7
Computed, not measured: RuPb2Cl after structural relaxation at the GGA-PBE level of DFT.

Summary:
ΔE to the lowest computed polymorph = 398 meV/atom
density of states at the Fermi level = 2.97 states/eV/f.u.
energy relative to the elements, uncorrected = 0.414 eV/atom
electronic total energy = -4.2210 eV per atom

CIF file:
```
data_RuPb2Cl
_space_group_name_H-M_alt 'I -4 m 2'
_space_group_IT_number 119
_space_group_name_Hall 'I -4 -2'
_cell_length_a 3.9974
_cell_length_b 3.9974
_cell_length_c 12.6600
_cell_angle_alpha 90.00
_cell_angle_beta 90.00
_cell_angle_gamma 90.00
loop_
_atom_site_label
_atom_site_fract_x
_atom_site_fract_y
_atom_site_fract_z
_atom_site_occupancy
Ru1 0.0000 0.0000 0.0000 1
Pb1 0.0000 0.0000 0.5000 1
Pb2 0.0000 0.5000 0.2500 1
Cl1 0.0000 0.5000 0.7500 1
```

No. 8
Computed, not measured: Na2PrHg3 after structural relaxation at the GGA-PBE level of DFT.

Summary:
ΔE to the lowest computed polymorph = 0 meV/atom
density of states at the Fermi level = 3.97 states/eV/f.u.
ΔE_f = -0.33 eV/atom
electronic total energy = -1.7123 eV per atom

CIF file:
```
data_Na2PrHg3
_space_group_name_H-M_alt 'P -3 m 1'
_space_group_IT_number 164
_space_group_name_Hall '-P 3 2"'
_cell_length_a 5.3310
_cell_length_b 5.3310
_cell_length_c 6.4818
_cell_angle_alpha 90.00
_cell_angle_beta 90.00
_cell_angle_gamma 120.00
loop_
_atom_site_label
_atom_site_fract_x
_atom_site_fract_y
_atom_site_fract_z
_atom_site_occupancy
Na1 0.3333 0.6667 0.1466 1
Pr1 0.0000 0.0000 0.5000 1
Hg1 0.0000 0.0000 0.0000 1
Hg2 0.3333 0.6667 0.6498 1
```

No. 9
Computed, not measured: LiOsRh after structural relaxation at the GGA-PBE level of DFT.

Summary:
ΔE to the lowest computed polymorph = 21 meV/atom
density of states at the Fermi level = 2.74 states/eV/f.u.
ΔE_f = 0.01 eV/atom
electronic total energy = -6.8209 eV per atom

CIF file:
```
data_LiOsRh
_space_group_name_H-M_alt 'C m c m'
_space_group_IT_number 63
_space_group_name_Hall '-C 2c 2'
_cell_length_a 2.7309
_cell_length_b 14.0012
_cell_length_c 4.2418
_cell_angle_alpha 90.00
_cell_angle_beta 90.00
_cell_angle_gamma 90.00
loop_
_atom_site_label
_atom_site_fract_x
_atom_site_fract_y
_atom_site_fract_z
_atom_site_occupancy
Li1 0.0000 0.1020 0.2500 1
Os1 0.0000 0.2205 0.7500 1
Rh1 0.0000 0.4372 0.2500 1
```

No. 10
Computed, not measured: K2ScCu after structural relaxation at the GGA-PBE level of DFT.

Summary:
ΔE to the lowest computed polymorph = 478 meV/atom
density of states at the Fermi level = 3.95 states/eV/f.u.
ΔE_f = 0.73 eV/atom
electronic total energy = -2.4232 eV per atom

CIF file:
```
data_K2ScCu
_space_group_name_H-M_alt 'C 1 2/m 1'
_space_group_IT_number 12
_space_group_name_Hall '-C 2y'
_cell_length_a 6.3532
_cell_length_b 12.6367
_cell_length_c 3.5345
_cell_angle_alpha 90.00
_cell_angle_beta 119.50
_cell_angle_gamma 90.00
loop_
_atom_site_label
_atom_site_fract_x
_atom_site_fract_y
_atom_site_fract_z
_atom_site_occupancy
K1 0.2500 0.2500 0.0000 1
Sc1 0.0000 0.0000 0.5000 1
Cu1 0.0000 0.5000 0.5000 1
```

No. 11
Computed, not measured: Na2LiVS4 after structural relaxation at the GGA-PBE level of DFT.

Summary:
energy relative to the elements, uncorrected = -1.035 eV/atom
electronic total energy = -4.8074 eV per atom

CIF file:
```
data_Na2LiVS4
_space_group_name_H-M_alt 'P m n 21'
_space_group_IT_number 31
_space_group_name_Hall 'P 2ac -2'
_cell_length_a 7.9356
_cell_length_b 6.6602
_cell_length_c 7.0029
_cell_angle_alpha 90.00
_cell_angle_beta 90.00
_cell_angle_gamma 90.00
loop_
_atom_site_label
_atom_site_fract_x
_atom_site_fract_y
_atom_site_fract_z
_atom_site_occupancy
Na1 0.2492 0.2044 0.0000 1
Li1 0.0000 0.7735 0.0690 1
V1 0.0000 0.2076 0.5716 1
S1 0.0000 0.0771 0.2863 1
S2 0.0000 0.9579 0.7686 1
S3 0.2228 0.3850 0.6200 1
```

No. 12
Computed, not measured: Th2CdPb after structural relaxation at the GGA-PBE level of DFT.

Summary:
density of states at the Fermi level = 3.44 states/eV/f.u.
ΔE_f = -0.20 eV/atom
electronic total energy = -5.0704 eV per atom

CIF file:
```
data_Th2CdPb
_space_group_name_H-M_alt 'P 4/m m m'
_space_group_IT_number 123
_space_group_name_Hall '-P 4 2'
_cell_length_a 5.0065
_cell_length_b 5.0065
_cell_length_c 4.6239
_cell_angle_alpha 90.00
_cell_angle_beta 90.00
_cell_angle_gamma 90.00
loop_
_atom_site_label
_atom_site_fract_x
_atom_site_fract_y
_atom_site_fract_z
_atom_site_occupancy
Th1 0.0000 0.5000 0.0000 1
Cd1 0.0000 0.0000 0.5000 1
Pb1 0.5000 0.5000 0.5000 1
```

No. 13
Computed, not measured: Cd2Ni2Bi after structural relaxation at the GGA-PBE level of DFT.

Summary:
ΔE to the lowest computed polymorph = 0 meV/atom
density of states at the Fermi level = 2.46 states/eV/f.u.
ΔE_f = 0.12 eV/atom
electronic total energy = -3.3345 eV per atom

CIF file:
```
data_Cd2Ni2Bi
_space_group_name_H-M_alt 'P 4/m b m'
_space_group_IT_number 127
_space_group_name_Hall '-P 4 2ab'
_cell_length_a 6.8927
_cell_length_b 6.8927
_cell_length_c 3.9058
_cell_angle_alpha 90.00
_cell_angle_beta 90.00
_cell_angle_gamma 90.00
loop_
_atom_site_label
_atom_site_fract_x
_atom_site_fract_y
_atom_site_fract_z
_atom_site_occupancy
Cd1 0.1550 0.3450 0.0000 1
Ni1 0.1332 0.6332 0.5000 1
Bi1 0.0000 0.0000 0.5000 1
```

No. 14
Computed, not measured: YAgSb2 after structural relaxation at the GGA-PBE level of DFT.

Summary:
density of states at the Fermi level = 0.90 states/eV/f.u.
energy relative to the elements, uncorrected = -0.622 eV/atom
electronic total energy = -5.0123 eV per atom

CIF file:
```
data_YAgSb2
_space_group_name_H-M_alt 'P 4/n m m'
_space_group_IT_number 129
_cell_length_a 4.3596
_cell_length_b 4.3596
_cell_length_c 10.4050
_cell_angle_alpha 90.00
_cell_angle_beta 90.00
_cell_angle_gamma 90.00
loop_
_space_group_symop_operation_xyz
'x,y,z'
'-x,-y,-z'
'-y+1/2,x,z'
'y+1/2,-x,-z'
'-x+1/2,-y+1/2,z'
'x+1/2,y+1/2,-z'
'y,-x+1/2,z'
'-y,x+1/2,-z'
'x+1/2,-y,-z'
'-x+1/2,y,z'
'-y,-x,-z'
'y,x,z'
'-x,y+1/2,-z'
'x,-y+1/2,z'
'y+1/2,x+1/2,-z'
'-y+1/2,-x+1/2,z'
loop_
_atom_site_label
_atom_site_fract_x
_atom_site_fract_y
_atom_site_fract_z
_atom_site_occupancy
Y1 0.2500 0.2500 0.2354 1
Ag1 0.2500 0.7500 0.5000 1
Sb1 0.2500 0.2500 0.6853 1
Sb2 0.2500 0.7500 0.0000 1
```

No. 15
Computed, not measured: TbPm2Zn5 after structural relaxation at the GGA-PBE level of DFT.

Summary:
density of states at the Fermi level = 4.42 states/eV/f.u.
ΔE_f = -0.29 eV/atom
electronic total energy = -2.8576 eV per atom

CIF file:
```
data_TbPm2Zn5
_space_group_name_H-M_alt 'I 4/m m m'
_space_group_IT_number 139
_space_group_name_Hall '-I 4 2'
_cell_length_a 4.8642
_cell_length_b 4.8642
_cell_length_c 14.4883
_cell_angle_alpha 90.00
_cell_angle_beta 90.00
_cell_angle_gamma 90.00
loop_
_atom_site_label
_atom_site_fract_x
_atom_site_fract_y
_atom_site_fract_z
_atom_site_occupancy
Tb1 0.0000 0.0000 0.0000 1
Pm1 0.0000 0.0000 0.2684 1
Zn1 0.0000 0.0000 0.5000 1
Zn2 0.0000 0.5000 0.1107 1
```